one) # GaAgSb3

An optimized crystal structure of GaAgSb3 (PBE, the Alexandria database).

a = 5.4248 Å, b = 5.4248 Å, c = 5.4248 Å
α = 90.00°, β = 90.00°, γ = 90.00°
Last column: nearest neighbours and their distance in Å.
Space group Pm-3m (No. 221)
Asymmetric unit:
Ga  0.0000  0.0000  0.0000 (multiplicity 1)  12 Sb 3.84
Ag  0.5000  0.5000  0.5000 (multiplicity 1)  6 Sb 2.71
Sb  0.0000  0.5000  0.5000 (multiplicity 3)  2 Ag 2.71

- volume (Å³/atom) = 31.928
- Fermi-level density of states (states/eV per cell) = 3.8

---

two) # GaAgSb3

An optimized crystal structure of GaAgSb3 (PBE, the Alexandria database).

a = 5.3099 Å, b = 5.3099 Å, c = 5.3099 Å
α = 90.00°, β = 90.00°, γ = 90.00°
Last column: nearest neighbours and their distance in Å.
Space group Pm-3m (No. 221)
Asymmetric unit:
Ga  0.0000  0.0000  0.0000 (multiplicity 1)  6 Sb 2.65
Ag  0.5000  0.5000  0.5000 (multiplicity 1)  12 Sb 3.75
Sb  0.0000  0.0000  0.5000 (multiplicity 3)  2 Ga 2.65

- volume (Å³/atom) = 29.942
- Fermi-level density of states (states/eV per cell) = 4.0

---

Verdict on stability: one) comes out on top.

---

one) # GaAg4Sb

An optimized crystal structure of GaAg4Sb (PBE, the Alexandria database).

a = 7.9080 Å, b = 7.9080 Å, c = 7.9080 Å
α = 90.00°, β = 90.00°, γ = 90.00°
Last column: nearest neighbours and their distance in Å.
Space group F-43m (No. 216)
Asymmetric unit:
Ga  0.0000  0.0000  0.0000 (multiplicity 4)  12 Ag 3.28, 4 Sb 3.42
Ag  0.1253  0.1253  0.3747 (multiplicity 16)  6 Ag 2.79-2.80
Sb  0.2500  0.2500  0.7500 (multiplicity 4)  12 Ag 3.28, 4 Ga 3.42

- volume (Å³/atom) = 20.605
- Fermi-level density of states (states/eV per cell) = 3.3

---

two) # GaAg4Sb

An optimized crystal structure of GaAg4Sb (PBE, the Alexandria database).

a = 6.4162 Å, b = 7.8431 Å, c = 5.0903 Å
α = 90.00°, β = 112.28°, γ = 90.00°
Last column: nearest neighbours and their distance in Å.
Space group P2_1/c (No. 14)
Asymmetric unit:
Ga  0.0000  0.0000  0.0000 (multiplicity 2)  6 Ag 2.68-2.78
Ag  0.1221  0.1645  0.5211 (multiplicity 4)  2 Ga 2.74-2.78, 5 Ag 2.88-3.01, 1 Sb 3.00
Ag  0.3307  0.6533  0.9287 (multiplicity 4)  1 Ga 2.68, 2 Sb 2.90-2.95, 3 Ag 2.95-2.96
Sb  0.5000  0.0000  0.0000 (multiplicity 2)  8 Ag 2.90-3.03, 2 Ga 3.21

- volume (Å³/atom) = 19.753
- Fermi-level density of states (states/eV per cell) = 3.9

---

Verdict on stability: two) comes out on top.

---

one) # Sc3GaAg

An optimized crystal structure of Sc3GaAg (PBE, the Alexandria database).

a = 5.0775 Å, b = 5.0775 Å, c = 5.0775 Å
α = 90.00°, β = 90.00°, γ = 90.00°
Last column: nearest neighbours and their distance in Å.
Space group Pm-3m (No. 221)
Asymmetric unit:
Sc  0.0000  0.0000  0.5000 (multiplicity 3)  2 Ga 2.54
Ga  0.0000  0.0000  0.0000 (multiplicity 1)  6 Sc 2.54
Ag  0.5000  0.5000  0.5000 (multiplicity 1)  12 Sc 3.59

- volume (Å³/atom) = 26.181
- Fermi-level density of states (states/eV per cell) = 9.6

---

two) # Sc3GaAg

An optimized crystal structure of Sc3GaAg (PBE, the Alexandria database).

a = 5.1272 Å, b = 5.1272 Å, c = 5.1272 Å
α = 90.00°, β = 90.00°, γ = 90.00°
Last column: nearest neighbours and their distance in Å.
Space group Pm-3m (No. 221)
Asymmetric unit:
Sc  0.0000  0.0000  0.5000 (multiplicity 3)  2 Ag 2.56
Ga  0.5000  0.5000  0.5000 (multiplicity 1)  12 Sc 3.63
Ag  0.0000  0.0000  0.0000 (multiplicity 1)  6 Sc 2.56

- volume (Å³/atom) = 26.958
- Fermi-level density of states (states/eV per cell) = 10.5

---

Verdict on stability: one) comes out on top.

---

one) # Sc3GaAg

An optimized crystal structure of Sc3GaAg (PBE, the Alexandria database).

a = 7.3948 Å, b = 7.3948 Å, c = 4.9209 Å
α = 90.00°, β = 90.00°, γ = 120.00°
Last column: nearest neighbours and their distance in Å.
Space group P6_3/mmc (No. 194)
Asymmetric unit:
Sc  0.1978  0.3955  0.2500 (multiplicity 6)  2 Ag 2.82, 2 Sc 3.01, 2 Ga 3.01
Ga  0.3333  0.6667  0.7500 (multiplicity 2)  6 Sc 3.01
Ag  0.0000  0.0000  0.0000 (multiplicity 2)  2 Ag 2.46

- volume (Å³/atom) = 23.309
- Fermi-level density of states (states/eV per cell) = 11.3

---

two) # Sc3GaAg

An optimized crystal structure of Sc3GaAg (PBE, the Alexandria database).

a = 4.7958 Å, b = 18.1215 Å, c = 4.7983 Å
α = 90.00°, β = 90.00°, γ = 90.00°
Last column: nearest neighbours and their distance in Å.
Space group Cmcm (No. 63)
Asymmetric unit:
Sc  0.0000  0.0596  0.2500 (multiplicity 4)  2 Ag 2.96, 2 Ga 2.96, 4 Sc 3.23-3.25
Sc  0.0000  0.2495  0.2500 (multiplicity 4)  4 Ga 2.95-2.96, 4 Ag 2.95-2.96
Sc  0.0000  0.4387  0.2500 (multiplicity 4)  2 Ag 2.94, 2 Ga 2.94, 4 Sc 3.25-3.27
Ga  0.0000  0.1550  0.7500 (multiplicity 4)  8 Sc 2.94-2.96
Ag  0.0000  0.3451  0.7500 (multiplicity 4)  8 Sc 2.94-2.96

- volume (Å³/atom) = 20.851
- Fermi-level density of states (states/eV per cell) = 19.5

---

Verdict on stability: two) comes out on top.

---

one) # ScGa3Ag3

An optimized crystal structure of ScGa3Ag3 (PBE, the Alexandria database).

a = 7.7661 Å, b = 7.7661 Å, c = 15.7796 Å
α = 90.00°, β = 90.00°, γ = 120.00°
Last column: nearest neighbours and their distance in Å.
Space group R-3 (No. 148, hexagonal axes)
Asymmetric unit:
Sc  0.0000  0.0000  0.1611 (multiplicity 6)  6 Ga 2.85, 6 Ag 3.09-3.18
Ga  0.0044  0.7032  0.4490 (multiplicity 18)  4 Ag 2.60-2.79, 2 Ga 2.83, 2 Sc 2.85
Ag  0.0017  0.3514  0.3819 (multiplicity 18)  4 Ga 2.60-2.79

- volume (Å³/atom) = 19.624
- Fermi-level density of states (states/eV per cell) = 13.3

---

two) # ScGa3Ag3

An optimized crystal structure of ScGa3Ag3 (PBE, the Alexandria database).

a = 7.0334 Å, b = 7.0334 Å, c = 7.0334 Å
α = 90.00°, β = 90.00°, γ = 90.00°
Last column: nearest neighbours and their distance in Å.
Space group Pm-3n (No. 223)
Asymmetric unit:
Sc  0.0000  0.0000  0.0000 (multiplicity 2)  12 Ga 3.93, 12 Ag 3.93
Ga  0.0000  0.2500  0.5000 (multiplicity 6)  4 Ag 2.49
Ag  0.0000  0.5000  0.2500 (multiplicity 6)  4 Ga 2.49

- volume (Å³/atom) = 24.852
- Fermi-level density of states (states/eV per cell) = 10.5

---

Verdict on stability: one) comes out on top.

---

one) # GaAg2Se

An optimized crystal structure of GaAg2Se (PBE, the Alexandria database).

a = 4.3781 Å, b = 4.3781 Å, c = 17.6594 Å
α = 90.00°, β = 90.00°, γ = 90.00°
Last column: nearest neighbours and their distance in Å.
Space group I-42d (No. 122)
Asymmetric unit:
Ga  0.0000  0.0000  0.0000 (multiplicity 4)  4 Ag 2.66
Ag  0.2279  0.2500  0.1250 (multiplicity 8)  2 Ga 2.66, 2 Se 2.74, 2 Ag 2.96
Se  0.0000  0.0000  0.5000 (multiplicity 4)  4 Ag 2.74

- volume (Å³/atom) = 21.155
- Fermi-level density of states (states/eV per cell) = 5.0

---

two) # GaAg2Se

An optimized crystal structure of GaAg2Se (PBE, the Alexandria database).

a = 6.8046 Å, b = 6.8046 Å, c = 6.8046 Å
α = 90.00°, β = 90.00°, γ = 90.00°
Last column: nearest neighbours and their distance in Å.
Space group Fm-3m (No. 225)
Asymmetric unit:
Ga  0.0000  0.0000  0.0000 (multiplicity 4)  8 Ag 2.95
Ag  0.2500  0.2500  0.2500 (multiplicity 8)  4 Se 2.95, 4 Ga 2.95
Se  0.0000  0.0000  0.5000 (multiplicity 4)  8 Ag 2.95

- volume (Å³/atom) = 19.692
- Fermi-level density of states (states/eV per cell) = 3.6

---

Verdict on stability: one) comes out on top.

---

one) # GaAg3Se

An optimized crystal structure of GaAg3Se (PBE, the Alexandria database).

a = 4.9059 Å, b = 4.9059 Å, c = 4.9059 Å
α = 90.00°, β = 90.00°, γ = 90.00°
Last column: nearest neighbours and their distance in Å.
Space group Pm-3m (No. 221)
Asymmetric unit:
Ga  0.0000  0.0000  0.0000 (multiplicity 1)  6 Ag 2.45
Ag  0.0000  0.0000  0.5000 (multiplicity 3)  2 Ga 2.45
Se  0.5000  0.5000  0.5000 (multiplicity 1)  12 Ag 3.47

- volume (Å³/atom) = 23.615
- Fermi-level density of states (states/eV per cell) = 2.8

---

two) # GaAg3Se

An optimized crystal structure of GaAg3Se (PBE, the Alexandria database).

a = 5.0936 Å, b = 5.0936 Å, c = 5.0936 Å
α = 90.00°, β = 90.00°, γ = 90.00°
Last column: nearest neighbours and their distance in Å.
Space group Pm-3m (No. 221)
Asymmetric unit:
Ga  0.0000  0.0000  0.0000 (multiplicity 1)  12 Ag 3.60
Ag  0.0000  0.5000  0.5000 (multiplicity 3)  2 Se 2.55
Se  0.5000  0.5000  0.5000 (multiplicity 1)  6 Ag 2.55

- volume (Å³/atom) = 26.431
- Fermi-level density of states (states/eV per cell) = 2.2

---

Verdict on stability: two) comes out on top.

---

one) # GaAg2Se2

An optimized crystal structure of GaAg2Se2 (PBE, the Alexandria database).

a = 7.5397 Å, b = 7.5397 Å, c = 3.7934 Å
α = 90.00°, β = 90.00°, γ = 90.00°
Last column: nearest neighbours and their distance in Å.
Space group P4/mbm (No. 127)
Asymmetric unit:
Ga  0.0000  0.0000  0.0000 (multiplicity 2)  4 Se 2.77
Ag  0.1326  0.3674  0.5000 (multiplicity 4)  6 Se 2.77-3.03, 1 Ag 2.83
Se  0.1779  0.6779  0.0000 (multiplicity 4)  6 Ag 2.77-3.03, 2 Ga 2.77

- volume (Å³/atom) = 21.565
- Fermi-level density of states (states/eV per cell) = 6.2

---

two) # GaAg2Se2

An optimized crystal structure of GaAg2Se2 (PBE, the Alexandria database).

a = 12.7421 Å, b = 4.5483 Å, c = 10.6770 Å
α = 90.00°, β = 121.58°, γ = 90.00°
Last column: nearest neighbours and their distance in Å.
Space group C2/m (No. 12)
Asymmetric unit:
Ga  0.1374  0.0000  0.1334 (multiplicity 4)  3 Se 2.48-2.60
Ag  0.0231  0.5000  0.3087 (multiplicity 4)  4 Se 2.71-2.89, 2 Ag 2.98
Ag  0.1760  0.0000  0.4966 (multiplicity 4)  3 Se 2.70-2.94, 4 Ag 2.93-2.98
Se  0.0532  0.0000  0.8525 (multiplicity 4)  2 Ga 2.51-2.60, 2 Ag 2.71
Se  0.1649  0.5000  0.6264 (multiplicity 4)  1 Ga 2.48, 2 Ag 2.70

- volume (Å³/atom) = 26.359
- Fermi-level density of states (states/eV per cell) = 5.8

---

Verdict on stability: two) comes out on top.